Record 1
Here is La4PmY2 after structural relaxation from the Alexandria database. Energies are from PBE.

The structure in extended XYZ format:
```
14
Lattice="3.286 -12.379 0.000 3.286 12.379 0.000 -3.276 0.000 6.113" Properties=species:S:1:pos:R:3 pbc="T T T"
La 1.648 11.940 3.056
La 1.513 4.892 4.399
La 3.288 5.763 1.579
La 1.508 1.288 3.300
La 3.146 -1.288 0.244
La 3.151 -4.892 1.343
La 1.650 -5.763 4.635
La 3.286 -11.940 0.000
Pm 3.066 9.288 0.786
Pm 1.428 -9.288 3.843
Y 1.792 8.477 4.145
Y 3.425 2.295 0.492
Y 1.787 -2.295 3.548
Y 3.430 -8.477 1.088
```

Properties
Space group: Cc (9)
ΔE to the lowest computed polymorph in meV per atom: 0
Calculated formation energy in eV per atom: 0.068


Record 2
Here is Ba2PS5 after structural relaxation from the Alexandria database. Energies are from PBE.

The structure in extended XYZ format:
```
16
Lattice="6.838 0.000 0.000 0.000 6.838 0.000 0.000 0.000 9.321" Properties=species:S:1:pos:R:3 pbc="T T T"
Ba 0.000 3.419 0.000
Ba 0.000 3.419 4.660
Ba 3.419 0.000 0.000
Ba 3.419 0.000 4.660
P 0.000 0.000 1.885
P 3.419 3.419 6.545
S 0.000 0.000 9.147
S 1.500 1.500 2.423
S 1.500 5.338 2.423
S 1.919 1.919 7.084
S 1.919 4.919 7.084
S 3.419 3.419 4.487
S 4.919 1.919 7.084
S 4.919 4.919 7.084
S 5.338 1.500 2.423
S 5.338 5.338 2.423
```

Properties
Space group: I4mm (107)
E_form (uncorrected) in meV/atom: -1053


Record 3
Here is LuCu4Pd after structural relaxation from the Alexandria database. Energies are from PBE.

The structure in extended XYZ format:
```
6
Lattice="0.000 3.509 3.509 3.509 0.000 3.509 3.509 3.509 0.000" Properties=species:S:1:pos:R:3 pbc="T T T"
Lu 0.000 0.000 0.000
Cu 4.383 2.636 2.636
Cu 2.636 4.383 2.636
Cu 2.636 2.636 4.383
Cu 4.383 4.383 4.383
Pd 1.755 1.755 1.755
```

Properties
Space group: F-43m (216)
Calculated formation energy in eV per atom: -0.368


Record 4
Here is Ti4PtO after structural relaxation from the Alexandria database. Energies are from PBE.

The structure in extended XYZ format:
```
12
Lattice="5.367 0.000 0.000 0.000 5.872 0.000 -1.257 0.000 5.806" Properties=species:S:1:pos:R:3 pbc="T T T"
Ti 0.267 0.938 1.148
Ti -0.361 1.999 4.050
Ti 1.699 3.718 0.576
Ti 1.070 5.091 3.478
Ti 3.040 0.782 2.327
Ti 2.411 2.155 5.230
Ti 4.472 3.874 1.755
Ti 3.843 4.935 4.658
Pt 2.684 0.000 0.000
Pt 2.055 2.936 2.903
O -0.629 0.000 2.903
O 0.000 2.936 0.000
```

Properties
Space group: P2_1/c (14)
E_form (uncorrected) in meV/atom: -1008


Record 5
Here is Ho8Sn2Te3 after structural relaxation from the Alexandria database. Energies are from PBE.

The structure in extended XYZ format:
```
13
Lattice="7.265 -4.173 0.000 7.265 4.173 0.000 -0.749 0.000 6.703" Properties=species:S:1:pos:R:3 pbc="T T T"
Ho 5.420 2.439 0.843
Ho 1.066 0.000 2.465
Ho 8.361 2.439 5.860
Ho 4.346 0.000 4.334
Ho 9.435 0.000 2.369
Ho 5.420 -2.439 0.843
Ho 12.714 0.000 4.237
Ho 8.361 -2.439 5.860
Sn 3.619 0.000 1.026
Sn 10.162 0.000 5.677
Te 6.890 1.699 3.351
Te 7.265 0.000 0.000
Te 6.890 -1.699 3.351
```

Properties
Space group: C2/m (12)
E_form (uncorrected) in meV/atom: -595


Record 6
Here is MgGa after structural relaxation from the Alexandria database. Energies are from PBE.

The structure in extended XYZ format:
```
8
Lattice="6.286 0.000 0.000 0.000 6.286 0.000 0.000 0.000 6.286" Properties=species:S:1:pos:R:3 pbc="T T T"
Mg 0.000 0.000 0.000
Mg 0.000 3.143 3.143
Mg 3.143 0.000 3.143
Mg 3.143 3.143 0.000
Ga 1.572 1.572 4.715
Ga 1.572 4.715 1.572
Ga 4.715 1.572 1.572
Ga 4.715 4.715 4.715
```

Properties
Space group: F-43m (216)
Calculated formation energy in eV per atom: 0.533


Record 7
Here is SnPdNF2 after structural relaxation from the Alexandria database. Energies are from PBE.

The structure in extended XYZ format:
```
5
Lattice="4.572 0.000 0.000 0.000 4.572 0.000 0.000 0.000 3.750" Properties=species:S:1:pos:R:3 pbc="T T T"
Sn 0.000 0.000 0.000
Pd 2.286 2.286 1.875
N 2.286 2.286 0.000
F 0.000 2.286 1.875
F 2.286 0.000 1.875
```

Properties
Space group: P4/mmm (123)
ΔE to the lowest computed polymorph in meV per atom: 56
E_form (uncorrected) in meV/atom: -337


Record 8
Here is Na2Cd5Pt2Rh after structural relaxation from the Alexandria database. Energies are from PBE.

The structure in extended XYZ format:
```
20
Lattice="11.784 0.000 0.000 0.000 11.784 0.000 0.000 0.000 3.086" Properties=species:S:1:pos:R:3 pbc="T T T"
Na 2.099 3.793 0.000
Na 3.793 9.686 0.000
Na 7.991 2.099 0.000
Na 9.686 7.991 0.000
Cd 0.000 5.892 1.543
Cd 0.700 9.609 1.543
Cd 2.175 0.700 1.543
Cd 3.717 6.592 1.543
Cd 5.192 3.717 1.543
Cd 5.892 0.000 1.543
Cd 6.592 8.067 1.543
Cd 8.067 5.192 1.543
Cd 9.609 11.084 1.543
Cd 11.084 2.175 1.543
Pt 1.614 7.506 0.000
Pt 4.278 1.614 0.000
Pt 7.506 10.170 0.000
Pt 10.170 4.278 0.000
Rh 0.000 0.000 0.000
Rh 5.892 5.892 0.000
```

Properties
Space group: P4/mbm (127)
Calculated formation energy in eV per atom: -0.252